Pm3Ga2Sn4 after structural relaxation. Source: Alexandria, functional GGA-PBE.

Geometry as POSCAR:
```
Pm3Ga2Sn4
1.0
4.612 0.000 0.000
0.000 6.956 0.078
-2.306 -3.380 7.453
Ga Sn Pm
2 4 3
Direct
0.343 0.013 0.686
0.657 0.987 0.314
0.523 0.316 0.046
0.212 0.250 0.425
0.788 0.750 0.575
0.477 0.684 0.954
0.000 0.000 0.000
0.134 0.649 0.267
0.866 0.351 0.733
```

Properties
Its volume is 240.3 Å³ per cell. The value obtained for the raw total energy is -4.611 eV per atom.


Tb6Sm3Ho2Tm after structural relaxation. Source: Alexandria, functional GGA-PBE.

Geometry as POSCAR:
```
Tb6Sm3Ho2Tm
1.0
-2.080 3.461 4.668
1.191 -5.990 0.895
11.243 3.456 1.091
Sm Ho Tb Tm
3 2 6 1
Direct
0.500 0.500 0.500
0.167 0.833 0.500
0.833 0.167 0.500
0.333 0.667 0.000
0.667 0.333 0.000
0.584 0.918 0.753
0.251 0.251 0.753
0.918 0.584 0.753
0.082 0.416 0.247
0.416 0.082 0.247
0.749 0.749 0.247
0.000 0.000 0.000
```

Properties
Its volume is 384.0 Å³ per cell. The value obtained for the raw total energy is -4.614 eV per atom.


Ta2CuSb after structural relaxation. Source: Alexandria, functional GGA-PBE.

Geometry as POSCAR:
```
Ta2CuSb
1.0
3.521 0.000 0.000
0.000 3.521 0.000
0.000 0.000 5.841
Sb Ta Cu
1 2 1
Direct
0.500 0.500 0.737
0.000 0.000 0.023
0.500 0.500 0.247
0.000 0.000 0.493
```

Properties
Its volume is 72.4 Å³ per cell. The value obtained for the raw total energy is -7.897 eV per atom.


In2Bi2Pd after structural relaxation. Source: Alexandria, functional GGA-PBE.

Geometry as POSCAR:
```
In2Bi2Pd
1.0
4.557 0.000 -0.731
-0.117 4.555 -0.731
-0.208 -0.214 13.275
Bi In Pd
4 4 2
Direct
0.675 0.675 0.350
0.575 0.075 0.150
0.925 0.425 0.850
0.325 0.325 0.650
0.191 0.191 0.381
0.809 0.809 0.619
0.059 0.559 0.119
0.441 0.941 0.881
0.500 0.500 0.000
0.750 0.250 0.500
```

Properties
The energy above the most stable polymorph in this dataset is 0.000 eV/atom. Its volume is 274.1 Å³ per cell. The value obtained for the raw total energy is -3.794 eV per atom.


Cs3LiMg2Cl9 after structural relaxation. Source: Alexandria, functional GGA-PBE.

Geometry as POSCAR:
```
Cs3LiMg2Cl9
1.0
7.294 0.000 0.000
-3.647 6.317 0.000
0.000 0.000 8.975
Cl Li Cs Mg
9 1 3 2
Direct
0.000 0.500 0.000
0.170 0.830 0.327
0.340 0.170 0.673
0.170 0.340 0.327
0.500 0.000 0.000
0.830 0.170 0.673
0.660 0.830 0.327
0.500 0.500 0.000
0.830 0.660 0.673
0.000 0.000 0.500
0.333 0.667 0.662
0.667 0.333 0.338
0.000 0.000 0.000
0.667 0.333 0.830
0.333 0.667 0.170
```

Properties
Its volume is 413.6 Å³ per cell. The value obtained for the raw total energy is -3.368 eV per atom.


Sm2AgSn after structural relaxation. Source: Alexandria, functional GGA-PBE.

Geometry as POSCAR:
```
Sm2AgSn
1.0
4.056 0.000 0.000
0.000 5.157 0.000
0.000 0.000 5.157
Sm Sn Ag
2 1 1
Direct
0.000 0.000 0.500
0.000 0.500 0.000
0.500 0.000 0.000
0.500 0.500 0.500
```

Properties
The energy above the most stable polymorph in this dataset is 0.027 eV/atom. Its volume is 107.9 Å³ per cell. The value obtained for the raw total energy is -4.568 eV per atom.


YPuZr after structural relaxation. Source: Alexandria, functional GGA-PBE.

Geometry as POSCAR:
```
YPuZr
1.0
-0.893 0.143 5.811
1.830 -4.809 2.848
4.727 0.832 2.953
Pu Y Zr
2 2 2
Direct
0.143 0.143 0.291
0.857 0.857 0.709
0.683 0.683 0.369
0.317 0.317 0.631
0.266 0.734 0.000
0.734 0.266 0.000
```

Properties
The energy above the most stable polymorph in this dataset is 0.045 eV/atom. Its volume is 156.9 Å³ per cell. The value obtained for the raw total energy is -9.594 eV per atom.


CdSbI2 after structural relaxation. Source: Alexandria, functional GGA-PBE.

Geometry as POSCAR:
```
CdSbI2
1.0
8.809 0.000 0.000
0.000 8.809 0.000
4.404 4.404 3.708
I Cd Sb
4 2 2
Direct
0.109 0.625 0.250
0.875 0.891 0.750
0.375 0.359 0.750
0.641 0.125 0.250
0.250 0.750 0.500
0.500 0.500 0.000
0.000 0.000 0.000
0.750 0.250 0.500
```

Properties
The energy above the most stable polymorph in this dataset is 0.000 eV/atom. Its volume is 287.7 Å³ per cell. The value obtained for the raw total energy is -1.890 eV per atom.


Tc2AgSeO after structural relaxation. Source: Alexandria, functional GGA-PBE.

Geometry as POSCAR:
```
Tc2AgSeO
1.0
5.170 0.000 0.000
0.000 3.844 0.000
0.000 0.000 5.170
Tc Se O Ag
2 1 1 1
Direct
0.500 0.000 0.000
0.000 0.000 0.500
0.500 0.500 0.500
0.000 0.500 0.000
0.000 0.000 0.000
```

Properties
Its volume is 102.7 Å³ per cell. The value obtained for the raw total energy is -4.908 eV per atom.


KUCdBr6 after structural relaxation. Source: Alexandria, functional GGA-PBE.

Geometry as POSCAR:
```
KUCdBr6
1.0
-0.762 4.282 -6.081
3.622 -6.525 -0.452
-12.324 -6.624 -3.120
Br K U Cd
12 2 2 2
Direct
0.367 0.374 0.864
0.626 0.993 0.864
0.007 0.374 0.636
0.367 0.993 0.636
0.993 0.367 0.136
0.993 0.626 0.364
0.374 0.367 0.364
0.633 0.626 0.136
0.007 0.633 0.864
0.633 0.007 0.364
0.626 0.633 0.636
0.374 0.007 0.136
0.000 0.000 0.500
0.000 0.000 0.000
0.667 0.333 0.750
0.333 0.667 0.250
0.667 0.333 0.250
0.333 0.667 0.750
```

Properties
Its volume is 693.9 Å³ per cell. The value obtained for the raw total energy is -3.838 eV per atom.


Rb2MoAuCl6 after structural relaxation. Source: Alexandria, functional GGA-PBE.

Geometry as POSCAR:
```
Rb2MoAuCl6
1.0
8.010 0.000 0.000
0.000 8.010 0.000
4.005 4.005 4.547
Rb Cl Mo Au
2 6 1 1
Direct
0.750 0.250 0.500
0.250 0.750 0.500
0.282 0.718 0.000
0.244 0.244 0.513
0.718 0.718 0.000
0.282 0.282 0.000
0.718 0.282 0.000
0.756 0.756 0.487
0.500 0.500 0.000
0.000 0.000 0.000
```

Properties
Its volume is 291.7 Å³ per cell. The value obtained for the raw total energy is -3.774 eV per atom.


Sc2FeTeC after structural relaxation. Source: Alexandria, functional GGA-PBE.

Geometry as POSCAR:
```
Sc2FeTeC
1.0
-1.378 0.738 4.397
2.813 -3.427 1.457
2.849 2.536 0.467
Te Sc Fe C
1 2 1 1
Direct
0.500 0.500 0.500
0.500 0.000 0.000
0.000 0.500 0.000
0.000 0.000 0.500
0.000 0.000 0.000
```

Properties
Its volume is 83.7 Å³ per cell. The value obtained for the raw total energy is -7.198 eV per atom.


ZrMnTe after structural relaxation. Source: Alexandria, functional GGA-PBE.

Geometry as POSCAR:
```
ZrMnTe
1.0
-4.530 2.189 -1.665
-5.113 0.277 1.366
-0.637 3.077 1.819
Mn Zr Te
1 1 1
Direct
0.999 0.999 0.001
0.665 0.665 0.335
0.337 0.337 0.663
```

Properties
Its volume is 61.1 Å³ per cell. The value obtained for the raw total energy is -7.134 eV per atom.


Pu2GaH after structural relaxation. Source: Alexandria, functional GGA-PBE.

Geometry as POSCAR:
```
Pu2GaH
1.0
3.125 0.000 0.000
0.000 3.125 0.000
0.000 0.000 7.416
Pu Ga H
2 1 1
Direct
0.000 0.000 0.713
0.000 0.000 0.287
0.500 0.500 0.000
0.500 0.500 0.500
```

Properties
The energy above the most stable polymorph in this dataset is 0.000 eV/atom. Its volume is 72.4 Å³ per cell. The value obtained for the raw total energy is -8.885 eV per atom.


In3GaH after structural relaxation. Source: Alexandria, functional GGA-PBE.

Geometry as POSCAR:
```
In3GaH
1.0
5.378 0.000 0.000
0.000 5.378 0.000
0.000 0.000 5.378
Ga In H
1 3 1
Direct
0.000 0.000 0.000
0.500 0.000 0.000
0.000 0.000 0.500
0.000 0.500 0.000
0.500 0.500 0.500
```

Properties
The energy above the most stable polymorph in this dataset is 0.419 eV/atom. Its volume is 155.5 Å³ per cell. The value obtained for the raw total energy is -2.264 eV per atom.


TbTc2Ge2 after structural relaxation. Source: Alexandria, functional GGA-PBE.

Geometry as POSCAR:
```
TbTc2Ge2
1.0
5.766 -0.643 -0.007
-2.561 5.206 -0.007
-1.596 -2.273 6.878
Ge Tc Tb
4 4 2
Direct
0.430 0.070 0.250
0.820 0.680 0.250
0.570 0.930 0.750
0.180 0.320 0.750
0.735 0.985 0.470
0.485 0.235 0.970
0.515 0.765 0.030
0.265 0.015 0.530
0.875 0.625 0.750
0.125 0.375 0.250
```

Properties
The energy above the most stable polymorph in this dataset is 0.146 eV/atom. Its volume is 194.9 Å³ per cell. The value obtained for the raw total energy is -7.230 eV per atom.


K2NaAl after structural relaxation. Source: Alexandria, functional GGA-PBE.

Geometry as POSCAR:
```
K2NaAl
1.0
9.946 0.000 0.000
0.000 9.946 0.000
4.973 4.973 3.517
Al K Na
2 4 2
Direct
0.000 0.000 0.000
0.750 0.250 0.500
0.875 0.896 0.750
0.646 0.125 0.250
0.104 0.625 0.250
0.375 0.354 0.750
0.250 0.750 0.500
0.500 0.500 0.000
```

Properties
Its volume is 347.9 Å³ per cell. The value obtained for the raw total energy is -1.448 eV per atom.


Pr3Zn2Ga after structural relaxation. Source: Alexandria, functional GGA-PBE.

Geometry as POSCAR:
```
Pr3Zn2Ga
1.0
3.699 0.000 0.000
0.000 3.699 0.000
0.000 0.000 11.275
Zn Pr Ga
2 3 1
Direct
0.500 0.500 0.837
0.500 0.500 0.163
0.000 0.000 0.333
0.000 0.000 0.667
0.000 0.000 0.000
0.500 0.500 0.500
```

Properties
The energy above the most stable polymorph in this dataset is 0.006 eV/atom. Its volume is 154.3 Å³ per cell. The value obtained for the raw total energy is -3.694 eV per atom.


BaScBe after structural relaxation. Source: Alexandria, functional GGA-PBE.

Geometry as POSCAR:
```
BaScBe
1.0
-0.105 1.971 -4.659
-3.452 -1.587 -3.341
-3.791 3.059 -1.368
Sc Be Ba
1 1 1
Direct
0.000 0.000 0.000
0.750 0.750 0.750
0.500 0.500 0.500
```

Properties
The energy above the most stable polymorph in this dataset is 0.345 eV/atom. Its volume is 91.6 Å³ per cell. The value obtained for the raw total energy is -3.299 eV per atom.


TcP2W after structural relaxation. Source: Alexandria, functional GGA-PBE.

Geometry as POSCAR:
```
TcP2W
1.0
3.572 0.000 0.000
0.000 3.016 -0.002
0.000 0.002 5.338
P Tc W
2 1 1
Direct
0.000 0.250 0.970
0.000 0.250 0.530
0.500 0.250 0.250
0.500 0.750 0.750
```

Properties
The energy above the most stable polymorph in this dataset is 0.466 eV/atom. Its volume is 57.5 Å³ per cell. The value obtained for the raw total energy is -8.472 eV per atom.